Computed, not measured: a relaxed structure of Ac2YMgO6 at the PBE-GGA level of DFT.

Lattice parameters (Å, degrees): 5.9085 6.0545 8.4101 90.00 90.75 90.00
Closest atoms and distances in Å follow each position.
Sites, in units of the cell vectors:
O 0.1949 0.2088 0.0561  1 Mg 2.15, 1 Y 2.26
O 0.7895 0.8020 0.5559  1 Mg 2.14, 1 Y 2.26
O 0.2105 0.1980 0.4441  1 Mg 2.14, 1 Y 2.26
O 0.6040 0.0422 0.2581  1 Mg 2.15, 1 Y 2.26
O 0.3051 0.7088 0.4439  1 Mg 2.15, 1 Y 2.26
O 0.7105 0.3020 0.9441  1 Mg 2.14, 1 Y 2.26
O 0.8960 0.5422 0.2419  1 Mg 2.15, 1 Y 2.26
O 0.6949 0.2912 0.5561  1 Mg 2.15, 1 Y 2.26
O 0.8051 0.7912 0.9439  1 Mg 2.15, 1 Y 2.26
Ac 0.9849 0.0491 0.7511  6 O 2.49-2.77
O 0.3960 0.9578 0.7419  1 Mg 2.15, 1 Y 2.26
O 0.1040 0.4578 0.7581  1 Mg 2.15, 1 Y 2.26
Ac 0.5151 0.5491 0.7489  6 O 2.49-2.77
Ac 0.4849 0.4509 0.2511  6 O 2.49-2.77
Ac 0.0151 0.9509 0.2489  6 O 2.49-2.77
O 0.2895 0.6980 0.0559  1 Mg 2.14, 1 Y 2.26
Mg 0.0000 0.5000 0.0000  6 O 2.14-2.15
Mg 0.5000 0.0000 0.5000  6 O 2.14-2.15
Y 0.0000 0.5000 0.5000  6 O 2.26
Y 0.5000 0.0000 0.0000  6 O 2.26

Computed, not measured: a relaxed structure of Ac2MgZnO6 at the PBE-GGA level of DFT.

Lattice parameters (Å, degrees): 5.6574 5.6581 8.0086 90.00 90.00 90.00
Closest atoms and distances in Å follow each position.
Sites, in units of the cell vectors:
Mg 0.0000 0.7500 0.5000  6 O 2.01-2.02
Ac 0.0000 0.2500 0.2500  12 O 2.83
O 0.5000 0.2499 0.7484  1 Zn 1.99, 1 Mg 2.02
Zn 0.0000 0.7500 0.0000  6 O 1.99
Ac 0.5000 0.7500 0.7500  12 O 2.83
Zn 0.5000 0.2500 0.5000  6 O 1.99
O 0.7485 0.4984 0.5000  1 Zn 1.99, 1 Mg 2.01
Ac 0.5000 0.7500 0.2500  12 O 2.83
O 0.7515 0.9984 0.0000  1 Zn 1.99, 1 Mg 2.01
O 0.2485 0.5016 0.0000  1 Zn 1.99, 1 Mg 2.01
Ac 0.0000 0.2500 0.7500  12 O 2.83
O 0.0000 0.7501 0.2484  1 Zn 1.99, 1 Mg 2.02
O 0.2515 0.4984 0.5000  1 Zn 1.99, 1 Mg 2.01
O 0.2515 0.0016 0.5000  1 Zn 1.99, 1 Mg 2.01
Mg 0.5000 0.2500 0.0000  6 O 2.01-2.02
O 0.0000 0.7501 0.7516  1 Zn 1.99, 1 Mg 2.02
O 0.7485 0.0016 0.5000  1 Zn 1.99, 1 Mg 2.01
O 0.5000 0.2499 0.2516  1 Zn 1.99, 1 Mg 2.02
O 0.2485 0.9984 0.0000  1 Zn 1.99, 1 Mg 2.01
O 0.7515 0.5016 0.0000  1 Zn 1.99, 1 Mg 2.01

| no. | total magnetization (μB/cell) | total DFT energy (no corrections) (eV per atom) | density of states at the Fermi level (states/eV per atom) |
| --- | --- | --- | --- |
| 1 | 2.13 | -7.5978 | 0.857 |
| 2 | 1.20 | -6.4479 | 0.610 |